(1)
A plane-wave DFT calculation with PBE was carried out for an optimized crystal structure of ScGaN2O.

```
data_ScGaN2O
_symmetry_space_group_name_H-M 'P 4/m m m'
_symmetry_Int_Tables_number 123
_symmetry_space_group_name_Hall '-P 4 2'
_cell_length_a 4.3583
_cell_length_b 4.3583
_cell_length_c 4.0294
_cell_angle_alpha 90.00
_cell_angle_beta 90.00
_cell_angle_gamma 90.00
loop_
_atom_site_label
_atom_site_type_symbol
_atom_site_fract_x
_atom_site_fract_y
_atom_site_fract_z
_atom_site_occupancy
Sc1 Sc 0.0000 0.0000 0.0000 1
Ga1 Ga 0.5000 0.5000 0.5000 1
N1 N 0.0000 0.5000 0.0000 1
O1 O 0.0000 0.0000 0.5000 1
```

Output
- final energy (eV per atom) = -5.994
- E_form (uncorrected) (eV/atom) = 0.199

(2)
A plane-wave DFT calculation with PBE was carried out for an optimized crystal structure of DyTmP2Rh5.

```
data_DyTmP2Rh5
_symmetry_space_group_name_H-M 'P 4/m m m'
_symmetry_Int_Tables_number 123
_symmetry_space_group_name_Hall '-P 4 2'
_cell_length_a 4.0182
_cell_length_b 4.0182
_cell_length_c 10.6817
_cell_angle_alpha 90.00
_cell_angle_beta 90.00
_cell_angle_gamma 90.00
loop_
_atom_site_label
_atom_site_type_symbol
_atom_site_fract_x
_atom_site_fract_y
_atom_site_fract_z
_atom_site_occupancy
Dy1 Dy 0.0000 0.0000 0.0000 1
Tm1 Tm 0.0000 0.0000 0.5000 1
P1 P 0.5000 0.5000 0.2116 1
Rh1 Rh 0.0000 0.5000 0.3073 1
Rh2 Rh 0.5000 0.5000 0.0000 1
```

Output
- final energy (eV per atom) = -7.041
- energy relative to the elements (eV/atom) = -0.75

(3)
A plane-wave DFT calculation with PBE was carried out for an optimized crystal structure of TlIn6Hg2.

```
data_TlIn6Hg2
_symmetry_space_group_name_H-M 'P 1 21/c 1'
_symmetry_Int_Tables_number 14
_cell_length_a 3.3473
_cell_length_b 14.0969
_cell_length_c 10.6785
_cell_angle_alpha 90.00
_cell_angle_beta 104.40
_cell_angle_gamma 90.00
loop_
_symmetry_equiv_pos_as_xyz
'x,y,z'
'-x,-y,-z'
'-x,y+1/2,-z+1/2'
'x,-y+1/2,z+1/2'
loop_
_atom_site_label
_atom_site_type_symbol
_atom_site_fract_x
_atom_site_fract_y
_atom_site_fract_z
_atom_site_occupancy
Tl1 Tl 0.0000 0.0000 0.0000 1
In1 In 0.0047 0.1758 0.5045 1
In2 In 0.3308 0.1673 0.8271 1
In3 In 0.3553 0.0035 0.3394 1
Hg1 Hg 0.3332 0.6655 0.3245 1
```

Output
- final energy (eV per atom) = -2.141
- energy relative to the elements (eV/atom) = 0.01

(4)
A plane-wave DFT calculation with PBE was carried out for an optimized crystal structure of Nd12H5Os3.

```
data_Nd12H5Os3
_symmetry_space_group_name_H-M 'I a -3 d'
_symmetry_Int_Tables_number 230
_symmetry_space_group_name_Hall '-I 4bd 2c 3'
_cell_length_a 15.6261
_cell_length_b 15.6261
_cell_length_c 15.6261
_cell_angle_alpha 90.00
_cell_angle_beta 90.00
_cell_angle_gamma 90.00
loop_
_atom_site_label
_atom_site_type_symbol
_atom_site_fract_x
_atom_site_fract_y
_atom_site_fract_z
_atom_site_occupancy
Nd1 Nd 0.0317 0.0635 0.6553 1
H1 H 0.0000 0.0000 0.0000 1
H2 H 0.0000 0.2500 0.3750 1
Os1 Os 0.0000 0.2500 0.1250 1
```

Output
- final energy (eV per atom) = -5.574

(5)
A plane-wave DFT calculation with PBE was carried out for an optimized crystal structure of LaMgIr.

```
data_LaMgIr
_symmetry_space_group_name_H-M 'F -4 3 m'
_symmetry_Int_Tables_number 216
_symmetry_space_group_name_Hall 'F -4 2 3'
_cell_length_a 6.7625
_cell_length_b 6.7625
_cell_length_c 6.7625
_cell_angle_alpha 90.00
_cell_angle_beta 90.00
_cell_angle_gamma 90.00
loop_
_atom_site_label
_atom_site_type_symbol
_atom_site_fract_x
_atom_site_fract_y
_atom_site_fract_z
_atom_site_occupancy
La1 La 0.0000 0.0000 0.0000 1
Mg1 Mg 0.0000 0.0000 0.5000 1
Ir1 Ir 0.2500 0.2500 0.7500 1
```

Output
- final energy (eV per atom) = -5.585
- energy relative to the elements (eV/atom) = -0.46

(6)
A plane-wave DFT calculation with PBE was carried out for an optimized crystal structure of Li2MgZn.

```
data_Li2MgZn
_symmetry_space_group_name_H-M 'I m m m'
_symmetry_Int_Tables_number 71
_symmetry_space_group_name_Hall '-I 2 2'
_cell_length_a 2.9340
_cell_length_b 4.8361
_cell_length_c 10.8432
_cell_angle_alpha 90.00
_cell_angle_beta 90.00
_cell_angle_gamma 90.00
loop_
_atom_site_label
_atom_site_type_symbol
_atom_site_fract_x
_atom_site_fract_y
_atom_site_fract_z
_atom_site_occupancy
Li1 Li 0.0000 0.0000 0.2323 1
Mg1 Mg 0.0000 0.0000 0.5000 1
Zn1 Zn 0.0000 0.0000 0.0000 1
```

Output
- final energy (eV per atom) = -1.608
- energy relative to the elements (eV/atom) = 0.07

(7)
A plane-wave DFT calculation with PBE was carried out for an optimized crystal structure of InReRu2.

```
data_InReRu2
_symmetry_space_group_name_H-M 'P m m m'
_symmetry_Int_Tables_number 47
_cell_length_a 2.9438
_cell_length_b 4.5294
_cell_length_c 4.7333
_cell_angle_alpha 90.00
_cell_angle_beta 90.00
_cell_angle_gamma 90.00
loop_
_symmetry_equiv_pos_as_xyz
'x,y,z'
'-x,-y,-z'
'-x,-y,z'
'x,y,-z'
'x,-y,-z'
'-x,y,z'
'-x,y,-z'
'x,-y,z'
loop_
_atom_site_label
_atom_site_type_symbol
_atom_site_fract_x
_atom_site_fract_y
_atom_site_fract_z
_atom_site_occupancy
In1 In 0.0000 0.0000 0.0000 1
Re1 Re 0.5000 0.0000 0.5000 1
Ru1 Ru 0.0000 0.5000 0.5000 1
Ru2 Ru 0.5000 0.5000 0.0000 1
```

Output
- final energy (eV per atom) = -7.896
- energy relative to the elements (eV/atom) = 0.54

(8)
A plane-wave DFT calculation with PBE was carried out for an optimized crystal structure of Li2NdPd9.

```
data_Li2NdPd9
_symmetry_space_group_name_H-M 'P 4/m m m'
_symmetry_Int_Tables_number 123
_symmetry_space_group_name_Hall '-P 4 2'
_cell_length_a 4.0879
_cell_length_b 4.0879
_cell_length_c 11.5384
_cell_angle_alpha 90.00
_cell_angle_beta 90.00
_cell_angle_gamma 90.00
loop_
_atom_site_label
_atom_site_type_symbol
_atom_site_fract_x
_atom_site_fract_y
_atom_site_fract_z
_atom_site_occupancy
Li1 Li 0.0000 0.0000 0.1552 1
Nd1 Nd 0.0000 0.0000 0.5000 1
Pd1 Pd 0.0000 0.5000 0.0000 1
Pd2 Pd 0.0000 0.5000 0.3133 1
Pd3 Pd 0.5000 0.5000 0.1561 1
Pd4 Pd 0.5000 0.5000 0.5000 1
```

Output
- final energy (eV per atom) = -5.019
- energy relative to the elements (eV/atom) = -0.41

(9)
A plane-wave DFT calculation with PBE was carried out for an optimized crystal structure of K3Tl4CuBr8.

```
data_K3Tl4CuBr8
_symmetry_space_group_name_H-M 'C 1 2/m 1'
_symmetry_Int_Tables_number 12
_cell_length_a 16.3783
_cell_length_b 9.1896
_cell_length_c 9.3419
_cell_angle_alpha 90.00
_cell_angle_beta 124.05
_cell_angle_gamma 90.00
loop_
_symmetry_equiv_pos_as_xyz
'x,y,z'
'-x,-y,-z'
'-x,y,-z'
'x,-y,z'
'x+1/2,y+1/2,z'
'-x+1/2,-y+1/2,-z'
'-x+1/2,y+1/2,-z'
'x+1/2,-y+1/2,z'
loop_
_atom_site_label
_atom_site_type_symbol
_atom_site_fract_x
_atom_site_fract_y
_atom_site_fract_z
_atom_site_occupancy
K1 K 0.0000 0.0000 0.0000 1
K2 K 0.2500 0.2500 0.0000 1
Tl1 Tl 0.0000 0.0000 0.5000 1
Tl2 Tl 0.0000 0.5000 0.5000 1
Tl3 Tl 0.2500 0.2500 0.5000 1
Cu1 Cu 0.0000 0.5000 0.0000 1
Br1 Br 0.0007 0.2955 0.7979 1
Br2 Br 0.2335 0.0000 0.7383 1
Br3 Br 0.2477 0.0000 0.2433 1
```

Output
- final energy (eV per atom) = -2.948
- E_form (uncorrected) (eV/atom) = -1.058

(10)
A plane-wave DFT calculation with PBE was carried out for an optimized crystal structure of KPtAu.

```
data_KPtAu
_symmetry_space_group_name_H-M 'I m m 2'
_symmetry_Int_Tables_number 44
_cell_length_a 2.8818
_cell_length_b 4.5589
_cell_length_c 11.4041
_cell_angle_alpha 90.00
_cell_angle_beta 90.00
_cell_angle_gamma 90.00
loop_
_symmetry_equiv_pos_as_xyz
'x,y,z'
'-x,-y,z'
'-x,y,z'
'x,-y,z'
'x+1/2,y+1/2,z+1/2'
'-x+1/2,-y+1/2,z+1/2'
'-x+1/2,y+1/2,z+1/2'
'x+1/2,-y+1/2,z+1/2'
loop_
_atom_site_label
_atom_site_type_symbol
_atom_site_fract_x
_atom_site_fract_y
_atom_site_fract_z
_atom_site_occupancy
K1 K 0.0000 0.0000 0.0000 1
Pt1 Pt 0.0000 0.0000 0.7331 1
Au1 Au 0.0000 0.0000 0.2679 1
```

Output
- final energy (eV per atom) = -3.563
- energy relative to the elements (eV/atom) = -0.09
- offset from the most stable computed form (eV/atom) = 0.161

(11)
A plane-wave DFT calculation with PBE was carried out for an optimized crystal structure of MnZnTc3.

```
data_MnZnTc3
_symmetry_space_group_name_H-M 'P m -3 m'
_symmetry_Int_Tables_number 221
_symmetry_space_group_name_Hall '-P 4 2 3'
_cell_length_a 4.4153
_cell_length_b 4.4153
_cell_length_c 4.4153
_cell_angle_alpha 90.00
_cell_angle_beta 90.00
_cell_angle_gamma 90.00
loop_
_atom_site_label
_atom_site_type_symbol
_atom_site_fract_x
_atom_site_fract_y
_atom_site_fract_z
_atom_site_occupancy
Mn1 Mn 0.0000 0.0000 0.0000 1
Zn1 Zn 0.5000 0.5000 0.5000 1
Tc1 Tc 0.0000 0.5000 0.5000 1
```

Output
- final energy (eV per atom) = -6.290
- energy relative to the elements (eV/atom) = 2.02
- offset from the most stable computed form (eV/atom) = 0.843

(12)
A plane-wave DFT calculation with PBE was carried out for an optimized crystal structure of AcZnP2S8.

```
data_AcZnP2S8
_symmetry_space_group_name_H-M 'P -3 m 1'
_symmetry_Int_Tables_number 164
_symmetry_space_group_name_Hall '-P 3 2"'
_cell_length_a 6.3963
_cell_length_b 6.3963
_cell_length_c 8.8752
_cell_angle_alpha 90.00
_cell_angle_beta 90.00
_cell_angle_gamma 120.00
loop_
_atom_site_label
_atom_site_type_symbol
_atom_site_fract_x
_atom_site_fract_y
_atom_site_fract_z
_atom_site_occupancy
Ac1 Ac 0.0000 0.0000 0.0000 1
Zn1 Zn 0.0000 0.0000 0.5000 1
P1 P 0.3333 0.6667 0.2173 1
S1 S 0.1567 0.3135 0.2882 1
S2 S 0.3333 0.6667 0.9905 1
```

Output
- final energy (eV per atom) = -4.603
- E_form (uncorrected) (eV/atom) = -0.501

(13)
A plane-wave DFT calculation with PBE was carried out for an optimized crystal structure of AcAlZnGa.

```
data_AcAlZnGa
_symmetry_space_group_name_H-M 'F -4 3 m'
_symmetry_Int_Tables_number 216
_symmetry_space_group_name_Hall 'F -4 2 3'
_cell_length_a 7.1989
_cell_length_b 7.1989
_cell_length_c 7.1989
_cell_angle_alpha 90.00
_cell_angle_beta 90.00
_cell_angle_gamma 90.00
loop_
_atom_site_label
_atom_site_type_symbol
_atom_site_fract_x
_atom_site_fract_y
_atom_site_fract_z
_atom_site_occupancy
Ac1 Ac 0.0000 0.0000 0.0000 1
Al1 Al 0.0000 0.0000 0.5000 1
Zn1 Zn 0.2500 0.2500 0.2500 1
Ga1 Ga 0.2500 0.2500 0.7500 1
```

Output
- final energy (eV per atom) = -3.225
- energy relative to the elements (eV/atom) = -0.19

(14)
A plane-wave DFT calculation with PBE was carried out for an optimized crystal structure of Cd3In6Hg14.

```
data_Cd3In6Hg14
_symmetry_space_group_name_H-M 'P 3 m 1'
_symmetry_Int_Tables_number 156
_cell_length_a 10.2792
_cell_length_b 10.2792
_cell_length_c 6.7073
_cell_angle_alpha 90.00
_cell_angle_beta 90.00
_cell_angle_gamma 120.00
loop_
_symmetry_equiv_pos_as_xyz
'x,y,z'
'-y,x-y,z'
'-x+y,-x,z'
'-y,-x,z'
'-x+y,y,z'
'x,x-y,z'
loop_
_atom_site_label
_atom_site_type_symbol
_atom_site_fract_x
_atom_site_fract_y
_atom_site_fract_z
_atom_site_occupancy
Cd1 Cd 0.0000 0.0000 0.0000 1
Cd2 Cd 0.3333 0.6667 0.3088 1
Cd3 Cd 0.6667 0.3333 0.1802 1
In1 In 0.1593 0.3185 0.1831 1
In2 In 0.3663 0.1831 0.8798 1
Hg1 Hg 0.0192 0.5096 0.0333 1
Hg2 Hg 0.0247 0.5124 0.5314 1
Hg3 Hg 0.1349 0.2698 0.6772 1
Hg4 Hg 0.3239 0.1619 0.3752 1
Hg5 Hg 0.3333 0.6667 0.7994 1
Hg6 Hg 0.6667 0.3333 0.6346 1
```

Output
- final energy (eV per atom) = -1.005
- energy relative to the elements (eV/atom) = 0.01

(15)
A plane-wave DFT calculation with PBE was carried out for an optimized crystal structure of GdY2Ho.

```
data_GdY2Ho
_symmetry_space_group_name_H-M 'P 4/m m m'
_symmetry_Int_Tables_number 123
_symmetry_space_group_name_Hall '-P 4 2'
_cell_length_a 3.5611
_cell_length_b 3.5611
_cell_length_c 10.0961
_cell_angle_alpha 90.00
_cell_angle_beta 90.00
_cell_angle_gamma 90.00
loop_
_atom_site_label
_atom_site_type_symbol
_atom_site_fract_x
_atom_site_fract_y
_atom_site_fract_z
_atom_site_occupancy
Gd1 Gd 0.0000 0.0000 0.0000 1
Y1 Y 0.5000 0.5000 0.2528 1
Ho1 Ho 0.0000 0.0000 0.5000 1
```

Output
- final energy (eV per atom) = -7.870
- energy relative to the elements (eV/atom) = 0.03
- offset from the most stable computed form (eV/atom) = 0.001

(16)
A plane-wave DFT calculation with PBE was carried out for an optimized crystal structure of HoThSc2Sb4.

```
data_HoThSc2Sb4
_symmetry_space_group_name_H-M 'P 1 2/m 1'
_symmetry_Int_Tables_number 10
_cell_length_a 7.4257
_cell_length_b 4.3234
_cell_length_c 7.4665
_cell_angle_alpha 90.00
_cell_angle_beta 109.61
_cell_angle_gamma 90.00
loop_
_symmetry_equiv_pos_as_xyz
'x,y,z'
'-x,-y,-z'
'-x,y,-z'
'x,-y,z'
loop_
_atom_site_label
_atom_site_type_symbol
_atom_site_fract_x
_atom_site_fract_y
_atom_site_fract_z
_atom_site_occupancy
Ho1 Ho 0.0000 0.0000 0.0000 1
Th1 Th 0.0000 0.5000 0.5000 1
Sc1 Sc 0.5000 0.0000 0.5000 1
Sc2 Sc 0.5000 0.5000 0.0000 1
Sb1 Sb 0.2669 0.5000 0.2510 1
Sb2 Sb 0.2712 0.0000 0.7622 1
```

Output
- final energy (eV per atom) = -6.121
- E_form (uncorrected) (eV/atom) = -0.977

(17)
A plane-wave DFT calculation with PBE was carried out for an optimized crystal structure of Ba2Ga2Sn.

```
data_Ba2Ga2Sn
_symmetry_space_group_name_H-M 'I 4/m m m'
_symmetry_Int_Tables_number 139
_symmetry_space_group_name_Hall '-I 4 2'
_cell_length_a 3.9400
_cell_length_b 3.9400
_cell_length_c 21.5799
_cell_angle_alpha 90.00
_cell_angle_beta 90.00
_cell_angle_gamma 90.00
loop_
_atom_site_label
_atom_site_type_symbol
_atom_site_fract_x
_atom_site_fract_y
_atom_site_fract_z
_atom_site_occupancy
Ba1 Ba 0.0000 0.0000 0.1066 1
Ga1 Ga 0.0000 0.5000 0.2500 1
Sn1 Sn 0.0000 0.0000 0.5000 1
```

Output
- final energy (eV per atom) = -3.112
- energy relative to the elements (eV/atom) = -0.33
- offset from the most stable computed form (eV/atom) = 0.155

(18)
A plane-wave DFT calculation with PBE was carried out for an optimized crystal structure of PrSi3RuRh.

```
data_PrSi3RuRh
_symmetry_space_group_name_H-M 'C m c m'
_symmetry_Int_Tables_number 63
_symmetry_space_group_name_Hall '-C 2c 2'
_cell_length_a 6.2940
_cell_length_b 12.4255
_cell_length_c 5.9134
_cell_angle_alpha 90.00
_cell_angle_beta 90.00
_cell_angle_gamma 90.00
loop_
_atom_site_label
_atom_site_type_symbol
_atom_site_fract_x
_atom_site_fract_y
_atom_site_fract_z
_atom_site_occupancy
Pr1 Pr 0.0000 0.2294 0.2500 1
Si1 Si 0.0000 0.2119 0.7500 1
Si2 Si 0.2047 0.5000 0.0000 1
Ru1 Ru 0.0000 0.0337 0.7500 1
Rh1 Rh 0.0000 0.3904 0.7500 1
```

Output
- final energy (eV per atom) = -6.825
- E_form (uncorrected) (eV/atom) = -0.545

(19)
A plane-wave DFT calculation with PBE was carried out for an optimized crystal structure of Li2In2BPt4.

```
data_Li2In2BPt4
_symmetry_space_group_name_H-M 'I 4/m m m'
_symmetry_Int_Tables_number 139
_symmetry_space_group_name_Hall '-I 4 2'
_cell_length_a 5.7578
_cell_length_b 5.7578
_cell_length_c 8.3186
_cell_angle_alpha 90.00
_cell_angle_beta 90.00
_cell_angle_gamma 90.00
loop_
_atom_site_label
_atom_site_type_symbol
_atom_site_fract_x
_atom_site_fract_y
_atom_site_fract_z
_atom_site_occupancy
Li1 Li 0.0000 0.0000 0.2234 1
In1 In 0.0000 0.5000 0.2500 1
B1 B 0.0000 0.0000 0.5000 1
Pt1 Pt 0.2463 0.2463 0.0000 1
```

Output
- final energy (eV per atom) = -4.996
- energy relative to the elements (eV/atom) = -0.54

(20)
A plane-wave DFT calculation with PBE was carried out for an optimized crystal structure of AgB.

```
data_AgB
_symmetry_space_group_name_H-M 'I 4/m c m'
_symmetry_Int_Tables_number 140
_symmetry_space_group_name_Hall '-I 4 2c'
_cell_length_a 7.2632
_cell_length_b 7.2632
_cell_length_c 4.9793
_cell_angle_alpha 90.00
_cell_angle_beta 90.00
_cell_angle_gamma 90.00
loop_
_atom_site_label
_atom_site_type_symbol
_atom_site_fract_x
_atom_site_fract_y
_atom_site_fract_z
_atom_site_occupancy
Ag1 Ag 0.2069 0.2931 0.0000 1
B1 B 0.0804 0.4196 0.5000 1
```

Output
- final energy (eV per atom) = -3.841
- energy relative to the elements (eV/atom) = 0.92
- offset from the most stable computed form (eV/atom) = 0.546